Version one
A plane-wave DFT calculation with PBE was carried out for a geometry-optimized CdCuTe structure.

POSCAR file:
```
CdCuTe
1.0
0.000 3.266 3.266
3.266 0.000 3.266
3.266 3.266 0.000
Cd Cu Te
1 1 1
Direct
0.000 0.000 0.000
0.750 0.750 0.750
0.500 0.500 0.500
```

Summary:
Its space-group type is F-43m, No. 216. Its magnetic moment is 0.00 Bohr magnetons per cell.

Version two
A plane-wave DFT calculation with PBE was carried out for a geometry-optimized CdCuTe structure.

POSCAR file:
```
CdCuTe
1.0
4.286 0.000 0.000
-2.143 3.712 0.000
0.000 0.000 4.382
Cd Cu Te
1 1 1
Direct
0.000 0.000 0.000
0.667 0.333 0.326
0.333 0.667 0.531
```

Summary:
Its space-group type is P3m1, No. 156. Its magnetic moment is 0.00 Bohr magnetons per cell.

Version three
A plane-wave DFT calculation with PBE was carried out for a geometry-optimized CdCuTe structure.

POSCAR file:
```
CdCuTe
1.0
0.000 2.544 6.361
2.058 0.000 6.361
2.058 2.544 0.000
Cd Cu Te
1 1 1
Direct
0.000 0.000 0.000
0.362 0.362 0.638
0.723 0.723 0.277
```

Summary:
Its space-group type is Fmm2, No. 42. Its magnetic moment is 0.00 Bohr magnetons per cell.

version one comes first in stability; the runner-up is 16 meV/atom higher.

Version one
A plane-wave DFT calculation with PBE was carried out for a geometry-optimized CdCu2Te structure.

POSCAR file:
```
CdCu2Te
1.0
3.774 0.000 0.000
0.000 3.774 0.000
0.000 0.000 5.408
Cd Cu Te
1 2 1
Direct
0.000 0.000 0.000
0.000 0.000 0.482
0.500 0.500 0.164
0.500 0.500 0.646
```

Summary:
Its space-group type is P4mm, No. 99. Its magnetic moment is 0.00 Bohr magnetons per cell.

Version two
A plane-wave DFT calculation with PBE was carried out for a geometry-optimized CdCu2Te structure.

POSCAR file:
```
CdCu2Te
1.0
3.132 0.000 0.000
0.000 3.925 0.000
0.000 0.000 6.325
Cd Cu Te
1 2 1
Direct
0.000 0.000 0.000
0.500 0.500 0.196
0.500 0.500 0.804
0.500 0.000 0.500
```

Summary:
Its space-group type is Pmmm, No. 47. Its magnetic moment is 0.00 Bohr magnetons per cell.

Version three
A plane-wave DFT calculation with PBE was carried out for a geometry-optimized CdCu2Te structure.

POSCAR file:
```
CdCu2Te
1.0
1.979 1.142 5.972
-1.979 1.142 5.972
0.000 -2.285 5.972
Cd Cu Te
1 2 1
Direct
0.000 0.000 0.000
0.247 0.247 0.247
0.753 0.753 0.753
0.500 0.500 0.500
```

Summary:
Its space-group type is R-3m, No. 166. Its magnetic moment is 0.00 Bohr magnetons per cell.

version two comes first in stability; the runner-up is 66 meV/atom higher.